Entry from Alexandria via LeMat-Bulk: an optimized crystal structure of SmTcClO4 (PBE-GGA).

a b c (Å): 6.3974 6.3974 6.9662
angles (deg): 77.95 77.95 69.77
Closest atoms and distances in Å follow each position.
Positions (direct):
O  0.2840  0.2840  0.5323  1 Tc 1.75
O  0.4831  0.1224  0.1458  1 Tc 1.84
O  0.4620  0.4620  0.7840  1 Tc 1.75
O  0.8776  0.5169  0.8542  1 Tc 1.84
O  0.5380  0.5380  0.2160  1 Tc 1.75
O  0.1224  0.4831  0.1458  1 Tc 1.84
O  0.7160  0.7160  0.4677  1 Tc 1.75
O  0.5169  0.8776  0.8542  1 Tc 1.84
Sm  0.7812  0.7812  0.1025  6 O 2.38-2.51
Sm  0.2188  0.2188  0.8975  6 O 2.38-2.51
Tc  0.3657  0.3657  0.2804  4 O 1.75-1.84
Tc  0.6343  0.6343  0.7196  4 O 1.75-1.84
Cl  0.0112  0.0112  0.2351  2 Sm 2.77-2.80
Cl  0.9888  0.9888  0.7649  2 Sm 2.77-2.80

Computed properties:
- density of states at the Fermi level (states/eV per atom) = 0.420
- VASP energy (eV/cell) = -102.4
- space group = C2/m

Entry from Alexandria via LeMat-Bulk: an optimized crystal structure of CeAsCl6 (PBE-GGA).

a b c (Å): 6.5817 6.6183 7.0125
angles (deg): 61.84 82.53 74.01
Closest atoms and distances in Å follow each position.
Positions (direct):
Cl  0.7311  0.1340  0.2832  1 As 2.52, 1 Ce 2.78
Cl  0.7353  0.7441  0.0000  1 As 2.53, 1 Ce 2.74
Cl  0.2689  0.5829  0.2832  1 As 2.52, 1 Ce 2.78
Cl  0.7311  0.4171  0.7168  1 As 2.52, 1 Ce 2.78
Cl  0.2647  0.2559  0.0000  1 As 2.53, 1 Ce 2.74
Cl  0.2689  0.8660  0.7168  1 As 2.52, 1 Ce 2.78
As  0.5000  0.5000  0.0000  6 Cl 2.52-2.53
Ce  0.0000  0.0000  0.0000  6 Cl 2.74-2.78

Computed properties:
- density of states at the Fermi level (states/eV per atom) = 0.551
- VASP energy (eV/cell) = -32.6
- space group = C2/m

Entry from Alexandria via LeMat-Bulk: an optimized crystal structure of TeIrW (PBE-GGA).

a b c (Å): 3.0830 3.0830 6.5667
angles (deg): 90.00 90.00 120.00
Closest atoms and distances in Å follow each position.
Positions (direct):
Te  0.3333  0.6667  0.3410  3 W 2.84, 3 Ir 2.96, 6 Te 3.08
W  0.6667  0.3333  0.6772  3 Ir 2.68, 3 Te 2.84
Ir  0.0000  0.0000  0.9818  3 W 2.68, 3 Te 2.96

Computed properties:
- density of states at the Fermi level (states/eV per atom) = 1.151
- offset from the most stable computed form (eV per atom) = 0.087
- space group = P3m1

Entry from Alexandria via LeMat-Bulk: an optimized crystal structure of TbIn5Cu (PBE-GGA).

a b c (Å): 4.6974 4.6974 7.5837
angles (deg): 90.00 90.00 90.00
Closest atoms and distances in Å follow each position.
Positions (direct):
In  0.5000  0.0000  0.7003  2 Cu 2.80, 1 In 3.04
In  0.0000  0.5000  0.7003  2 Cu 2.80, 1 In 3.04
In  0.0000  0.5000  0.2997  2 Cu 2.80, 1 In 3.04
In  0.5000  0.0000  0.2997  2 Cu 2.80, 1 In 3.04
In  0.5000  0.5000  0.0000  8 In 3.27, 4 Tb 3.32
Tb  0.0000  0.0000  0.0000  12 In 3.27-3.32
Cu  0.0000  0.0000  0.5000  8 In 2.80

Computed properties:
- density of states at the Fermi level (states/eV per atom) = 0.314
- energy of formation (eV/atom) = -0.217
- space group = P4/mmm

Entry from Alexandria via LeMat-Bulk: an optimized crystal structure of CeMgTlAg (PBE-GGA).

a b c (Å): 5.1734 5.1734 5.1734
angles (deg): 60.00 60.00 60.00
Closest atoms and distances in Å follow each position.
Positions (direct):
Tl  0.2500  0.2500  0.2500  4 Ce 3.17, 4 Mg 3.17
Mg  0.5000  0.5000  0.5000  4 Tl 3.17, 4 Ag 3.17
Ag  0.7500  0.7500  0.7500  4 Ce 3.17, 4 Mg 3.17
Ce  0.0000  0.0000  0.0000  4 Ag 3.17, 4 Tl 3.17

Computed properties:
- density of states at the Fermi level (states/eV per atom) = 1.846
- energy of formation (eV/atom) = -0.219
- space group = F-43m

Entry from Alexandria via LeMat-Bulk: an optimized crystal structure of LaTlSi2 (PBE-GGA).

a b c (Å): 3.9654 4.5154 5.6654
angles (deg): 78.79 90.00 90.00
Closest atoms and distances in Å follow each position.
Positions (direct):
La  0.5000  0.7349  0.8275  6 Si 3.12-3.26, 2 Tl 3.40
Si  0.0000  0.1892  0.0019  2 Si 2.47
Si  0.5000  0.0660  0.2618  2 Si 2.47
Tl  0.0000  0.5098  0.4088  5 Si 2.95-3.18

Computed properties:
- density of states at the Fermi level (states/eV per atom) = 0.254
- offset from the most stable computed form (eV per atom) = 0.000
- space group = Pm

Entry from Alexandria via LeMat-Bulk: an optimized crystal structure of SrCa2YSe4 (PBE-GGA).

a b c (Å): 4.2161 7.3530 7.3114
angles (deg): 109.30 90.00 90.00
Closest atoms and distances in Å follow each position.
Positions (direct):
Se  0.5000  0.7600  0.7509  3 Ca 2.94-3.02, 2 Y 2.96, 1 Sr 3.05
Se  0.0000  0.2371  0.7443  3 Ca 2.94-3.03, 1 Y 2.95, 2 Sr 3.05
Se  0.0000  0.7629  0.2557  3 Ca 2.94-3.03, 1 Y 2.95, 2 Sr 3.05
Se  0.5000  0.2400  0.2491  3 Ca 2.94-3.02, 2 Y 2.96, 1 Sr 3.05
Sr  0.5000  0.5000  0.0000  6 Se 3.05
Y  0.0000  0.0000  0.0000  6 Se 2.95-2.96
Ca  0.0000  0.5000  0.5000  6 Se 3.02-3.03
Ca  0.5000  0.0000  0.5000  6 Se 2.94

Computed properties:
- density of states at the Fermi level (states/eV per atom) = 0.329
- VASP energy (eV/cell) = -41.6
- space group = P2/m

Entry from Alexandria via LeMat-Bulk: an optimized crystal structure of GdScAlNi (PBE-GGA).

a b c (Å): 4.8450 4.8450 4.8450
angles (deg): 60.00 60.00 60.00
Closest atoms and distances in Å follow each position.
Positions (direct):
Gd  0.0000  0.0000  0.0000  4 Ni 2.97, 4 Al 2.97
Ni  0.2500  0.2500  0.2500  4 Sc 2.97, 4 Gd 2.97
Al  0.7500  0.7500  0.7500  4 Sc 2.97, 4 Gd 2.97
Sc  0.5000  0.5000  0.5000  4 Al 2.97, 4 Ni 2.97

Computed properties:
- density of states at the Fermi level (states/eV per atom) = 0.747
- energy of formation (eV/atom) = -0.321
- space group = F-43m